YbB2Rh3 | GGA-PBE | relaxed

Total magnetization, μB/cell: 0.21
ΔH_f (0 K), eV per atom: -0.65
SG: P6/mmm

Cell lengths 5.587, 5.587, 2.953 Å; angles 90.00, 90.00, 120.00 degrees
Sites, in units of the cell vectors:
Yb (0.000, 0.000, 0.000)
B (0.333, 0.667, 0.000)
B (0.667, 0.333, 0.000)
Rh (0.000, 0.500, 0.500)
Rh (0.500, 0.000, 0.500)
Rh (0.500, 0.500, 0.500)

***

YbB4Rh | GGA-PBE | relaxed

Total magnetization, μB/cell: 0.00
ΔH_f (0 K), eV per atom: -0.51
SG: Pbam

Cell lengths 5.971, 11.564, 3.511 Å; angles 90.00, 90.00, 90.00 degrees
Sites, in units of the cell vectors:
Yb (0.130, 0.150, 0.000)
Yb (0.370, 0.650, 0.000)
Yb (0.630, 0.350, 0.000)
Yb (0.870, 0.850, 0.000)
B (0.025, 0.692, 0.500)
B (0.113, 0.547, 0.500)
B (0.135, 0.970, 0.500)
B (0.210, 0.814, 0.500)
B (0.290, 0.314, 0.500)
B (0.365, 0.470, 0.500)
B (0.387, 0.047, 0.500)
B (0.475, 0.192, 0.500)
B (0.525, 0.808, 0.500)
B (0.613, 0.953, 0.500)
B (0.635, 0.530, 0.500)
B (0.710, 0.686, 0.500)
B (0.790, 0.186, 0.500)
B (0.865, 0.030, 0.500)
B (0.887, 0.453, 0.500)
B (0.975, 0.308, 0.500)
Rh (0.142, 0.407, 0.000)
Rh (0.358, 0.907, 0.000)
Rh (0.642, 0.093, 0.000)
Rh (0.858, 0.593, 0.000)

***

Yb2B6Rh | GGA-PBE | relaxed

Total magnetization, μB/cell: 1.54
ΔH_f (0 K), eV per atom: -0.50
SG: Pbam

Cell lengths 9.123, 11.493, 3.623 Å; angles 90.00, 90.00, 90.00 degrees
Sites, in units of the cell vectors:
Yb (0.057, 0.128, 0.000)
Yb (0.177, 0.414, 0.000)
Yb (0.323, 0.914, 0.000)
Yb (0.443, 0.628, 0.000)
Yb (0.557, 0.372, 0.000)
Yb (0.677, 0.086, 0.000)
Yb (0.823, 0.586, 0.000)
Yb (0.943, 0.872, 0.000)
B (0.018, 0.287, 0.500)
B (0.054, 0.567, 0.500)
B (0.104, 0.971, 0.500)
B (0.131, 0.816, 0.500)
B (0.209, 0.235, 0.500)
B (0.250, 0.080, 0.500)
B (0.250, 0.580, 0.500)
B (0.291, 0.735, 0.500)
B (0.369, 0.316, 0.500)
B (0.396, 0.471, 0.500)
B (0.446, 0.067, 0.500)
B (0.482, 0.787, 0.500)
B (0.518, 0.213, 0.500)
B (0.554, 0.933, 0.500)
B (0.604, 0.529, 0.500)
B (0.631, 0.684, 0.500)
B (0.709, 0.265, 0.500)
B (0.750, 0.420, 0.500)
B (0.750, 0.920, 0.500)
B (0.791, 0.765, 0.500)
B (0.869, 0.184, 0.500)
B (0.896, 0.029, 0.500)
B (0.946, 0.433, 0.500)
B (0.982, 0.713, 0.500)
Rh (0.138, 0.679, 0.000)
Rh (0.362, 0.179, 0.000)
Rh (0.638, 0.821, 0.000)
Rh (0.862, 0.321, 0.000)

***

YbBRh3 | GGA-PBE | relaxed

Total magnetization, μB/cell: 0.69
ΔH_f (0 K), eV per atom: -0.56
SG: Pm-3m

Cell lengths 4.206, 4.206, 4.206 Å; angles 90.00, 90.00, 90.00 degrees
Sites, in units of the cell vectors:
Yb (0.000, 0.000, 0.000)
B (0.500, 0.500, 0.500)
Rh (0.000, 0.500, 0.500)
Rh (0.500, 0.000, 0.500)
Rh (0.500, 0.500, 0.000)

***

ZnBRh | GGA-PBE | relaxed

Total magnetization, μB/cell: 0.00
ΔH_f (0 K), eV per atom: 0.05
SG: C2/m
Relative energy among the computed polymorphs, eV per atom: 0.145

Cell lengths 4.255, 4.255, 4.318 Å; angles 98.76, 98.76, 70.30 degrees
Sites, in units of the cell vectors:
Zn (0.086, 0.086, 0.278)
Zn (0.914, 0.914, 0.722)
B (0.413, 0.413, 0.328)
B (0.587, 0.587, 0.672)
Rh (0.312, 0.312, 0.840)
Rh (0.688, 0.688, 0.160)

***

ZnBRh | GGA-PBE | relaxed

Total magnetization, μB/cell: 0.00
ΔH_f (0 K), eV per atom: 0.75
SG: I4mm
Relative energy among the computed polymorphs, eV per atom: 0.842

Cell lengths 6.189, 6.189, 6.189 Å; angles 155.45, 155.45, 34.99 degrees
Sites, in units of the cell vectors:
Zn (0.000, 0.000, 0.000)
B (0.389, 0.389, 0.000)
Rh (0.227, 0.227, 0.000)

***

Zn5B4Rh8 | GGA-PBE | relaxed

Total magnetization, μB/cell: 0.00
ΔH_f (0 K), eV per atom: -0.42
SG: Cmmm

Cell lengths 9.550, 9.550, 2.868 Å; angles 90.00, 90.00, 127.05 degrees
Sites, in units of the cell vectors:
Zn (0.000, 0.000, 0.000)
Zn (0.197, 0.803, 0.000)
Zn (0.354, 0.354, 0.000)
Zn (0.646, 0.646, 0.000)
Zn (0.803, 0.197, 0.000)
B (0.156, 0.467, 0.000)
B (0.467, 0.156, 0.000)
B (0.533, 0.844, 0.000)
B (0.844, 0.533, 0.000)
Rh (0.000, 0.500, 0.500)
Rh (0.081, 0.267, 0.500)
Rh (0.267, 0.081, 0.500)
Rh (0.376, 0.624, 0.500)
Rh (0.500, 0.000, 0.500)
Rh (0.624, 0.376, 0.500)
Rh (0.733, 0.919, 0.500)
Rh (0.919, 0.733, 0.500)

***

ZnB3Rh | GGA-PBE | relaxed

Total magnetization, μB/cell: 0.00
ΔH_f (0 K), eV per atom: 1.89
SG: Pm-3m
Relative energy among the computed polymorphs, eV per atom: 0.803

Cell lengths 3.889, 3.889, 3.889 Å; angles 90.00, 90.00, 90.00 degrees
Sites, in units of the cell vectors:
Zn (0.000, 0.000, 0.000)
B (0.000, 0.000, 0.500)
B (0.000, 0.500, 0.000)
B (0.500, 0.000, 0.000)
Rh (0.500, 0.500, 0.500)

***

ZnBRh4 | GGA-PBE | relaxed

Total magnetization, μB/cell: 0.00
ΔH_f (0 K), eV per atom: 0.09
SG: P4/mmm

Cell lengths 3.791, 3.791, 5.959 Å; angles 90.00, 90.00, 90.00 degrees
Sites, in units of the cell vectors:
Zn (0.000, 0.000, 0.000)
B (0.500, 0.500, 0.500)
Rh (0.000, 0.500, 0.286)
Rh (0.000, 0.500, 0.714)
Rh (0.500, 0.000, 0.286)
Rh (0.500, 0.000, 0.714)

***

ZnBRh3 | GGA-PBE | relaxed

Total magnetization, μB/cell: 0.00
ΔH_f (0 K), eV per atom: -0.26
SG: P6_3/mmc
Relative energy among the computed polymorphs, eV per atom: 0.000

Cell lengths 5.646, 5.646, 4.772 Å; angles 90.00, 90.00, 120.00 degrees
Sites, in units of the cell vectors:
Zn (0.333, 0.667, 0.250)
Zn (0.667, 0.333, 0.750)
B (0.000, 0.000, 0.000)
B (0.000, 0.000, 0.500)
Rh (0.174, 0.348, 0.750)
Rh (0.174, 0.826, 0.750)
Rh (0.348, 0.174, 0.250)
Rh (0.652, 0.826, 0.750)
Rh (0.826, 0.174, 0.250)
Rh (0.826, 0.652, 0.250)

***

Zn2BRh3 | GGA-PBE | relaxed

Total magnetization, μB/cell: 0.00
ΔH_f (0 K), eV per atom: -0.24
SG: C2/m

Cell lengths 5.451, 5.451, 6.715 Å; angles 98.00, 98.00, 120.04 degrees
Sites, in units of the cell vectors:
Zn (0.000, 0.000, 0.000)
Zn (0.138, 0.862, 0.500)
Zn (0.500, 0.500, 0.500)
Zn (0.862, 0.138, 0.500)
B (0.328, 0.672, 0.000)
B (0.672, 0.328, 0.000)
Rh (0.077, 0.476, 0.208)
Rh (0.330, 0.330, 0.803)
Rh (0.476, 0.077, 0.208)
Rh (0.524, 0.923, 0.792)
Rh (0.670, 0.670, 0.197)
Rh (0.923, 0.524, 0.792)

***

ZnB5Rh6 | GGA-PBE | relaxed

Total magnetization, μB/cell: 0.00
ΔH_f (0 K), eV per atom: -0.28
SG: C2/m

Cell lengths 5.304, 5.304, 5.674 Å; angles 103.61, 103.61, 106.51 degrees
Sites, in units of the cell vectors:
Zn (0.000, 0.000, 0.000)
B (0.107, 0.893, 0.500)
B (0.296, 0.704, 0.000)
B (0.500, 0.500, 0.500)
B (0.704, 0.296, 0.000)
B (0.893, 0.107, 0.500)
Rh (0.142, 0.543, 0.253)
Rh (0.315, 0.315, 0.746)
Rh (0.457, 0.858, 0.747)
Rh (0.543, 0.142, 0.253)
Rh (0.685, 0.685, 0.254)
Rh (0.858, 0.457, 0.747)

***

ZnBRh | GGA-PBE | relaxed

Total magnetization, μB/cell: 0.00
ΔH_f (0 K), eV per atom: -0.06
SG: F-43m
Relative energy among the computed polymorphs, eV per atom: 0.032

Cell lengths 3.704, 3.704, 3.704 Å; angles 60.00, 60.00, 60.00 degrees
Sites, in units of the cell vectors:
Zn (0.000, 0.000, 0.000)
B (0.250, 0.250, 0.250)
Rh (0.500, 0.500, 0.500)

***

ZnBRh | GGA-PBE | relaxed

Total magnetization, μB/cell: 0.00
ΔH_f (0 K), eV per atom: -0.09
SG: P3m1
Relative energy among the computed polymorphs, eV per atom: 0.000

Cell lengths 3.499, 3.499, 3.558 Å; angles 90.00, 90.00, 120.00 degrees
Sites, in units of the cell vectors:
Zn (0.000, 0.000, 0.000)
B (0.667, 0.333, 0.409)
Rh (0.333, 0.667, 0.493)

***

Zn11B8Rh18 | GGA-PBE | relaxed

Total magnetization, μB/cell: 0.00
ΔH_f (0 K), eV per atom: -0.43
SG: P4/mbm

Cell lengths 17.907, 17.907, 2.878 Å; angles 90.00, 90.00, 90.00 degrees
Sites, in units of the cell vectors:
Zn (0.000, 0.000, 0.000)
Zn (0.031, 0.188, 0.000)
Zn (0.050, 0.450, 0.000)
Zn (0.168, 0.332, 0.000)
Zn (0.188, 0.969, 0.000)
Zn (0.212, 0.712, 0.000)
Zn (0.288, 0.212, 0.000)
Zn (0.312, 0.469, 0.000)
Zn (0.332, 0.832, 0.000)
Zn (0.450, 0.950, 0.000)
Zn (0.469, 0.688, 0.000)
Zn (0.500, 0.500, 0.000)
Zn (0.531, 0.312, 0.000)
Zn (0.550, 0.050, 0.000)
Zn (0.668, 0.168, 0.000)
Zn (0.688, 0.531, 0.000)
Zn (0.712, 0.788, 0.000)
Zn (0.788, 0.288, 0.000)
Zn (0.812, 0.031, 0.000)
Zn (0.832, 0.668, 0.000)
Zn (0.950, 0.550, 0.000)
Zn (0.969, 0.812, 0.000)
B (0.040, 0.666, 0.000)
B (0.124, 0.833, 0.000)
B (0.166, 0.540, 0.000)
B (0.167, 0.124, 0.000)
B (0.333, 0.624, 0.000)
B (0.334, 0.040, 0.000)
B (0.376, 0.333, 0.000)
B (0.460, 0.166, 0.000)
B (0.540, 0.834, 0.000)
B (0.624, 0.667, 0.000)
B (0.666, 0.960, 0.000)
B (0.667, 0.376, 0.000)
B (0.833, 0.876, 0.000)
B (0.834, 0.460, 0.000)
B (0.876, 0.167, 0.000)
B (0.960, 0.334, 0.000)
Rh (0.046, 0.325, 0.500)
Rh (0.067, 0.900, 0.500)
Rh (0.082, 0.582, 0.500)
Rh (0.090, 0.743, 0.500)
Rh (0.100, 0.067, 0.500)
Rh (0.159, 0.212, 0.500)
Rh (0.175, 0.454, 0.500)
Rh (0.212, 0.841, 0.500)
Rh (0.243, 0.590, 0.500)
Rh (0.257, 0.090, 0.500)
Rh (0.288, 0.341, 0.500)
Rh (0.325, 0.954, 0.500)
Rh (0.341, 0.712, 0.500)
Rh (0.400, 0.567, 0.500)
Rh (0.410, 0.243, 0.500)
Rh (0.418, 0.082, 0.500)
Rh (0.433, 0.400, 0.500)
Rh (0.454, 0.825, 0.500)
Rh (0.546, 0.175, 0.500)
Rh (0.567, 0.600, 0.500)
Rh (0.582, 0.918, 0.500)
Rh (0.590, 0.757, 0.500)
Rh (0.600, 0.433, 0.500)
Rh (0.659, 0.288, 0.500)
Rh (0.675, 0.046, 0.500)
Rh (0.712, 0.659, 0.500)
Rh (0.743, 0.910, 0.500)
Rh (0.757, 0.410, 0.500)
Rh (0.788, 0.159, 0.500)
Rh (0.825, 0.546, 0.500)
Rh (0.841, 0.788, 0.500)
Rh (0.900, 0.933, 0.500)
Rh (0.910, 0.257, 0.500)
Rh (0.918, 0.418, 0.500)
Rh (0.933, 0.100, 0.500)
Rh (0.954, 0.675, 0.500)

***

ZnBRh3 | GGA-PBE | relaxed

Total magnetization, μB/cell: 0.00
ΔH_f (0 K), eV per atom: -0.22
SG: Pm-3m
Relative energy among the computed polymorphs, eV per atom: 0.040

Cell lengths 4.074, 4.074, 4.074 Å; angles 90.00, 90.00, 90.00 degrees
Sites, in units of the cell vectors:
Zn (0.000, 0.000, 0.000)
B (0.500, 0.500, 0.500)
Rh (0.000, 0.500, 0.500)
Rh (0.500, 0.000, 0.500)
Rh (0.500, 0.500, 0.000)

***

ZnBRh3 | GGA-PBE | relaxed

Total magnetization, μB/cell: 1.98
ΔH_f (0 K), eV per atom: 1.85
SG: Pm-3m
Relative energy among the computed polymorphs, eV per atom: 2.110

Cell lengths 4.498, 4.498, 4.498 Å; angles 90.00, 90.00, 90.00 degrees
Sites, in units of the cell vectors:
Zn (0.000, 0.000, 0.000)
B (0.500, 0.500, 0.500)
Rh (0.000, 0.000, 0.500)
Rh (0.000, 0.500, 0.000)
Rh (0.500, 0.000, 0.000)

***

ZnB2Rh4 | GGA-PBE | relaxed

Total magnetization, μB/cell: 0.00
ΔH_f (0 K), eV per atom: -0.15
SG: Fdd2

Cell lengths 6.905, 5.588, 7.340 Å; angles 62.86, 46.07, 71.07 degrees
Sites, in units of the cell vectors:
Zn (0.000, 0.000, 0.000)
Zn (0.250, 0.250, 0.250)
B (0.125, 0.625, 0.626)
B (0.624, 0.626, 0.125)
B (0.625, 0.125, 0.624)
B (0.626, 0.624, 0.625)
Rh (0.309, 0.393, 0.838)
Rh (0.393, 0.309, 0.460)
Rh (0.412, 0.790, 0.941)
Rh (0.460, 0.838, 0.394)
Rh (0.790, 0.412, 0.857)
Rh (0.838, 0.460, 0.308)
Rh (0.856, 0.942, 0.790)
Rh (0.942, 0.856, 0.412)

***

Calculated total energy for the records above, in order: -40.81, -154.70, -219.89, -33.05, -30.29, -13.06, -99.07, -19.23, -36.83, -62.58, -65.39, -82.14, -15.49, -15.58, -431.21, -31.09, -20.74, -90.16 eV per cell